1.
Here is a relaxed MnRe2Si crystal from the Alexandria database. Energies are from GGA-PBE.

SG: No. 6
Calculated volume (Å³/cell): 53.0
E_form (uncorrected) (eV per atom): -0.04

Lattice parameters (Å, degrees): 2.7579 4.0138 4.9736 90.00 105.75 90.00
Positions (direct):
1 Mn 0.0000 0.0000 0.0000
2 Re 0.3418 0.0000 0.5249
3 Re 0.6552 0.5000 0.2251
4 Si 0.9514 0.5000 0.7490

***

2.
Here is a relaxed MnRe2Si crystal from the Alexandria database. Energies are from GGA-PBE.

SG: No. 8
Calculated volume (Å³/cell): 104.5
E_form (uncorrected) (eV per atom): -0.14

Lattice parameters (Å, degrees): 9.4771 2.9138 4.2232 90.00 116.38 90.00
Positions (direct):
1 Mn 0.0000 0.0000 0.0000
2 Mn 0.5000 0.5000 0.0000
3 Re 0.2373 0.0000 0.7373
4 Re 0.4671 0.0000 0.4671
5 Re 0.7373 0.5000 0.7373
6 Re 0.9671 0.5000 0.4671
7 Si 0.2227 0.5000 0.2225
8 Si 0.7227 0.0000 0.2225

***

3.
Here is a relaxed MnReSi2 crystal from the Alexandria database. Energies are from GGA-PBE.

SG: No. 122
Calculated volume (Å³/cell): 234.3
E_form (uncorrected) (eV per atom): 0.43
Excess energy over the best structure of this formula in the dataset (meV/atom): 712

Lattice parameters (Å, degrees): 6.5484 6.5484 5.4644 90.00 90.00 90.00
Positions (direct):
1 Mn 0.0000 0.0000 0.0000
2 Mn 0.0000 0.5000 0.2500
3 Mn 0.5000 0.0000 0.7500
4 Mn 0.5000 0.5000 0.5000
5 Re 0.0000 0.0000 0.5000
6 Re 0.0000 0.5000 0.7500
7 Re 0.5000 0.0000 0.2500
8 Re 0.5000 0.5000 0.0000
9 Si 0.2454 0.2500 0.1250
10 Si 0.2500 0.7454 0.3750
11 Si 0.2500 0.7546 0.8750
12 Si 0.2546 0.2500 0.6250
13 Si 0.7454 0.7500 0.6250
14 Si 0.7500 0.2454 0.8750
15 Si 0.7500 0.2546 0.3750
16 Si 0.7546 0.7500 0.1250

***

4.
Here is a relaxed MnRe2Si crystal from the Alexandria database. Energies are from GGA-PBE.

SG: No. 122
Calculated volume (Å³/cell): 245.4
E_form (uncorrected) (eV per atom): 0.53

Lattice parameters (Å, degrees): 3.6954 3.6954 17.9693 90.00 90.00 90.00
Positions (direct):
1 Mn 0.0000 0.0000 0.0000
2 Mn 0.0000 0.5000 0.2500
3 Mn 0.5000 0.0000 0.7500
4 Mn 0.5000 0.5000 0.5000
5 Re 0.2184 0.2500 0.6250
6 Re 0.2500 0.7184 0.8750
7 Re 0.2500 0.7816 0.3750
8 Re 0.2816 0.2500 0.1250
9 Re 0.7184 0.7500 0.1250
10 Re 0.7500 0.2184 0.3750
11 Re 0.7500 0.2816 0.8750
12 Re 0.7816 0.7500 0.6250
13 Si 0.0000 0.0000 0.5000
14 Si 0.0000 0.5000 0.7500
15 Si 0.5000 0.0000 0.2500
16 Si 0.5000 0.5000 0.0000

***

5.
Here is a relaxed Mn2ReSi2 crystal from the Alexandria database. Energies are from GGA-PBE.

SG: No. 127
Calculated volume (Å³/cell): 122.6
E_form (uncorrected) (eV per atom): -0.22

Lattice parameters (Å, degrees): 6.6563 6.6563 2.7680 90.00 90.00 90.00
Positions (direct):
1 Mn 0.1546 0.3454 0.0000
2 Mn 0.3454 0.8454 0.0000
3 Mn 0.6546 0.1546 0.0000
4 Mn 0.8454 0.6546 0.0000
5 Re 0.0000 0.0000 0.5000
6 Re 0.5000 0.5000 0.5000
7 Si 0.1402 0.6402 0.5000
8 Si 0.3598 0.1402 0.5000
9 Si 0.6402 0.8598 0.5000
10 Si 0.8598 0.3598 0.5000

***

6.
Here is a relaxed MnRe2Si crystal from the Alexandria database. Energies are from GGA-PBE.

SG: No. 10
Calculated volume (Å³/cell): 55.3
E_form (uncorrected) (eV per atom): 0.03

Lattice parameters (Å, degrees): 4.4827 2.7996 4.6809 90.00 109.70 90.00
Positions (direct):
1 Mn 0.0000 0.0000 0.0000
2 Re 0.5000 0.0000 0.5000
3 Re 0.5000 0.5000 0.0000
4 Si 0.0000 0.5000 0.5000

***

7.
Here is a relaxed MnRe3Si crystal from the Alexandria database. Energies are from GGA-PBE.

SG: No. 221
Calculated volume (Å³/cell): 82.1
E_form (uncorrected) (eV per atom): 1.50
Excess energy over the best structure of this formula in the dataset (meV/atom): 0

Lattice parameters (Å, degrees): 4.3463 4.3463 4.3463 90.00 90.00 90.00
Positions (direct):
1 Mn 0.0000 0.0000 0.0000
2 Re 0.0000 0.5000 0.5000
3 Re 0.5000 0.0000 0.5000
4 Re 0.5000 0.5000 0.0000
5 Si 0.5000 0.5000 0.5000

***

8.
Here is a relaxed MnRe2Si crystal from the Alexandria database. Energies are from GGA-PBE.

SG: No. 166
Calculated volume (Å³/cell): 163.1
E_form (uncorrected) (eV per atom): 0.05

Lattice parameters (Å, degrees): 2.7544 2.7544 24.8229 90.00 90.00 120.00
Positions (direct):
1 Mn 0.0000 0.0000 0.0000
2 Mn 0.3333 0.6667 0.6667
3 Mn 0.6667 0.3333 0.3333
4 Re 0.0000 0.0000 0.2507
5 Re 0.0000 0.0000 0.7493
6 Re 0.3333 0.6667 0.4160
7 Re 0.3333 0.6667 0.9174
8 Re 0.6667 0.3333 0.0826
9 Re 0.6667 0.3333 0.5840
10 Si 0.0000 0.0000 0.5000
11 Si 0.3333 0.6667 0.1667
12 Si 0.6667 0.3333 0.8333

***

9.
Here is a relaxed MnRe2Si2 crystal from the Alexandria database. Energies are from GGA-PBE.

SG: No. 127
Calculated volume (Å³/cell): 140.3
E_form (uncorrected) (eV per atom): -0.02

Lattice parameters (Å, degrees): 6.8333 6.8333 3.0056 90.00 90.00 90.00
Positions (direct):
1 Mn 0.0000 0.0000 0.0000
2 Mn 0.5000 0.5000 0.0000
3 Re 0.1546 0.3454 0.5000
4 Re 0.3454 0.8454 0.5000
5 Re 0.6546 0.1546 0.5000
6 Re 0.8454 0.6546 0.5000
7 Si 0.1411 0.6411 0.0000
8 Si 0.3589 0.1411 0.0000
9 Si 0.6411 0.8589 0.0000
10 Si 0.8589 0.3589 0.0000

***

10.
Here is a relaxed MnReSi2 crystal from the Alexandria database. Energies are from GGA-PBE.

SG: No. 99
Calculated volume (Å³/cell): 51.0
E_form (uncorrected) (eV per atom): -0.28
Excess energy over the best structure of this formula in the dataset (meV/atom): 0

Lattice parameters (Å, degrees): 3.1057 3.1057 5.2874 90.00 90.00 90.00
Positions (direct):
1 Mn 0.0000 0.0000 0.0000
2 Re 0.5000 0.5000 0.3120
3 Si 0.0000 0.0000 0.5371
4 Si 0.5000 0.5000 0.8040

***

11.
Here is a relaxed MnReSi2 crystal from the Alexandria database. Energies are from GGA-PBE.

SG: No. 65
Calculated volume (Å³/cell): 105.9
E_form (uncorrected) (eV per atom): 0.02
Excess energy over the best structure of this formula in the dataset (meV/atom): 300

Lattice parameters (Å, degrees): 3.0149 4.6453 7.5636 90.00 90.00 90.00
Positions (direct):
1 Mn 0.0000 0.0000 0.0000
2 Mn 0.5000 0.5000 0.0000
3 Re 0.0000 0.0000 0.5000
4 Re 0.5000 0.5000 0.5000
5 Si 0.0000 0.5000 0.2377
6 Si 0.0000 0.5000 0.7623
7 Si 0.5000 0.0000 0.2377
8 Si 0.5000 0.0000 0.7623

***

12.
Here is a relaxed MnRe2Si crystal from the Alexandria database. Energies are from GGA-PBE.

SG: No. 71
Calculated volume (Å³/cell): 106.9
E_form (uncorrected) (eV per atom): -0.03

Lattice parameters (Å, degrees): 2.9701 4.3046 8.3588 90.00 90.00 90.00
Positions (direct):
1 Mn 0.0000 0.0000 0.0000
2 Mn 0.5000 0.5000 0.5000
3 Re 0.0000 0.5000 0.2383
4 Re 0.0000 0.5000 0.7617
5 Re 0.5000 0.0000 0.2617
6 Re 0.5000 0.0000 0.7383
7 Si 0.0000 0.0000 0.5000
8 Si 0.5000 0.5000 0.0000

***

Q: What is the E_form (uncorrected) in the eighth record?
A: 0.05 eV per atom

***

Q: Number 5 is which compound?
A: Mn2ReSi2

***

Q: What is the E_form (uncorrected) in the tenth record?
A: -0.28 eV per atom

***

Q: What is the formula in the second record?
A: MnRe2Si